[1]
7
Lattice="-0.2530 -4.1407 -1.9481 4.1646 -1.0170 1.6207 -4.8630 0.0025 6.0174" Properties=species:S:1:pos:R:3 comment="Lu4HPd2 PBE relaxed" sg=I4/mmm rho_g_cm3=10.28 total_energy_ev_per_atom=-5.12 pbc="T T T"
Lu -0.1265 -2.0703 -0.9740
Lu 0.1265 -4.2000 3.5196
Lu -1.0779 -0.9553 2.1704
Lu 2.0823 -0.5085 0.8103
H 0.0000 0.0000 0.0000
Pd 1.2369 -3.2159 1.2838
Pd -2.1884 -1.9393 4.4063


[2]
11
Lattice="3.5192 0.0000 0.2159 1.7530 3.0515 0.2159 -0.1738 -0.1006 31.6245" Properties=species:S:1:pos:R:3 comment="Y2Ho6Tm3 PBE relaxed" sg=R-3m rho_g_cm3=8.18 polymorph_energy_mev_per_atom=0 total_energy_ev_per_atom=-4.87 pbc="T T T"
Tm 0.0000 0.0000 0.0000
Tm 1.4089 0.8155 5.8247
Tm 3.6894 2.1354 26.2316
Y 2.2839 1.3219 20.3512
Y 2.8143 1.6289 11.7051
Ho 0.8794 0.5090 14.4557
Ho 3.3405 1.9335 3.1288
Ho 4.7494 2.7490 8.9517
Ho 4.2189 2.4419 17.6006
Ho 1.7578 1.0174 28.9275
Ho 0.3488 0.2019 23.1045


[3]
12
Lattice="5.1027 0.0479 -0.0032 0.0898 5.0983 -0.0056 0.0046 0.0077 7.0028" Properties=species:S:1:pos:R:3 comment="AcHo2TcO8 PBE relaxed" sg=P2/m e_form_raw_ev_per_fu=-31.32 rho_g_cm3=7.14 total_energy_ev_per_atom=-7.88 pbc="T T T"
Tc 0.0000 0.0000 0.0000
O 1.0298 4.1533 5.6254
O 1.3583 1.3392 -0.0023
O 4.1673 1.0006 1.3686
O 1.0270 4.1485 1.3671
O 1.6889 1.6629 3.4986
O 3.8388 3.8147 6.9963
O 4.1701 1.0053 5.6269
O 3.5082 3.4909 3.4954
Ho 2.5997 2.5788 5.2380
Ho 2.5975 2.5750 1.7560
Ac 0.0023 0.0038 3.5014


[4]
16
Lattice="-0.4799 1.6642 -4.1693 -7.0845 -0.8891 2.9049 0.5181 14.2177 5.6154" Properties=species:S:1:pos:R:3 comment="BaLiEr2Te4 PBE relaxed" sg=Cmcm e_form_raw_ev_per_fu=-11.03 rho_g_cm3=6.45 total_energy_ev_per_atom=-4.57 pbc="T T T"
Te 0.2591 7.1089 2.8077
Te -3.6845 5.5011 2.6198
Te 0.0000 0.0000 0.0000
Te -3.2176 13.4455 3.2927
Te -3.3617 9.4917 1.7312
Te -3.8286 1.5473 1.0583
Te -6.1277 10.6125 4.9413
Te -0.9185 4.3802 -0.5903
Ba -1.4158 10.6492 4.4136
Ba -5.6304 4.3435 -0.0626
Er -4.9958 13.3418 5.9004
Er -2.0504 1.6510 -1.5494
Er -1.8521 7.0934 0.6001
Er -5.1942 7.8994 3.7509
Li -2.0930 3.5371 1.6527
Li -4.9533 11.4556 2.6983


[5]
8
Lattice="6.2162 0.0000 0.0000 0.0000 6.2162 0.0000 3.1081 3.1081 2.6739" Properties=species:S:1:pos:R:3 comment="Al2IrC PBE relaxed" sg=I-42d rho_g_cm3=8.30 total_energy_ev_per_atom=-6.17 pbc="T T T"
Ir 6.2162 3.1081 1.3369
Ir 0.0000 0.0000 0.0000
C 3.1081 6.2162 1.3369
C 3.1081 3.1081 0.0000
Al 4.6621 5.1739 2.0054
Al 7.7702 7.2585 2.0054
Al 4.1504 1.5540 0.6685
Al 2.0658 4.6621 0.6685


[6]
5
Lattice="-1.0619 -0.3699 6.3853 -6.1315 -2.0083 -1.1360 2.0215 -6.1603 -0.0207" Properties=species:S:1:pos:R:3 comment="BaCdAg2I PBE relaxed" sg=P4/mmm e_form_raw_ev_per_fu=1.32 rho_g_cm3=3.57 total_energy_ev_per_atom=-1.75 pbc="T T T"
Ag 1.0108 -3.0802 -0.0103
Ag -0.5309 -0.1850 3.1926
I -3.0658 -1.0041 -0.5680
Ba 0.0000 0.0000 0.0000
Cd -2.5859 -4.2693 2.6143


[7]
8
Lattice="6.9564 0.0000 0.0000 0.0000 6.9564 0.0000 3.4782 3.4782 2.5165" Properties=species:S:1:pos:R:3 comment="LiBeNb2 PBE relaxed" sg=I-42d rho_g_cm3=5.50 total_energy_ev_per_atom=-5.91 pbc="T T T"
Be 0.0000 0.0000 0.0000
Be 6.9564 3.4782 1.2582
Nb 5.2173 5.1504 1.8874
Nb 5.2842 1.7391 0.6291
Nb 1.6722 5.2173 0.6291
Nb 8.6955 8.7624 1.8874
Li 3.4782 6.9564 1.2582
Li 3.4782 3.4782 0.0000


[8]
3
Lattice="5.1582 0.0000 0.0000 2.5791 4.4672 0.0000 2.5791 1.4891 4.2117" Properties=species:S:1:pos:R:3 comment="SrSiBr PBE relaxed" sg=F-43m e_form_raw_ev_per_fu=-0.14 rho_g_cm3=3.35 total_energy_ev_per_atom=-2.97 pbc="T T T"
Br 7.7374 4.4672 3.1588
Si 0.0000 0.0000 0.0000
Sr 5.1582 2.9781 2.1058


[9]
4
Lattice="-7.1909 -5.0716 -1.7898 -4.9868 -7.1466 -2.1658 -6.0839 -6.5751 0.6226" Properties=species:S:1:pos:R:3 comment="Sc2FePd PBE relaxed" sg=R-3m rho_g_cm3=5.90 total_energy_ev_per_atom=-6.40 pbc="T T T"
Pd -9.1308 -9.3966 -1.6665
Sc -16.7304 -17.2175 -3.0536
Sc -1.5312 -1.5758 -0.2795
Fe 0.0000 0.0000 0.0000


[10]
5
Lattice="-1.2897 4.4046 -0.0960 -1.9631 -0.4927 3.7639 3.8682 1.1800 2.1720" Properties=species:S:1:pos:R:3 comment="MnFePSe2 PBE relaxed" sg=P4/mmm e_form_raw_ev_per_fu=5.23 rho_g_cm3=5.53 total_energy_ev_per_atom=-4.96 pbc="T T T"
P 0.3077 2.5459 2.9199
Se 1.9341 0.5900 1.0860
Se -0.6449 2.2023 -0.0480
Fe 0.0000 0.0000 0.0000
Mn -0.9816 -0.2464 1.8820


[11]
6
Lattice="-3.4938 0.3881 0.7349 -0.9984 -2.5578 -2.3148 3.3285 -4.1219 6.7051" Properties=species:S:1:pos:R:3 comment="DyRhF PBE relaxed" sg=C2/m e_form_raw_ev_per_fu=-5.56 rho_g_cm3=9.25 total_energy_ev_per_atom=-6.46 pbc="T T T"
Rh 0.0061 -5.3322 5.1558
Rh -1.1699 -0.9593 -0.0305
F 0.6482 -2.9043 3.3359
F -1.8120 -3.3872 1.7893
Dy -3.5360 -3.2777 0.2729
Dy 2.3722 -3.0138 4.8523


[12]
4
Lattice="3.8591 0.0000 0.0000 1.9295 3.3421 0.0000 1.9295 1.1140 7.8451" Properties=species:S:1:pos:R:3 comment="Al2GeSb PBE relaxed" sg=R-3m e_form_raw_ev_per_fu=1.09 rho_g_cm3=4.08 polymorph_energy_mev_per_atom=191 total_energy_ev_per_atom=-3.78 pbc="T T T"
Ge 3.8591 2.2280 3.9225
Al 1.9296 1.1140 5.1483
Al 5.7886 3.3421 2.6967
Sb 0.0000 0.0000 0.0000